1.
Entry from Alexandria via LeMat-Bulk: a geometry-optimized TbGeBrN2 structure (PBE).

For the formation energy from raw total energies, the calculation gives -826 meV/atom.

Unit cell a=3.577 b=7.072 c=8.082 alpha=103.55 beta=90.00 gamma=90.00
Atoms (fractional coordinates):
Tb 0.750 0.297 0.019
Tb 0.250 0.703 0.981
Ge 0.250 0.543 0.380
Ge 0.750 0.457 0.620
N 0.750 0.527 0.856
N 0.750 0.625 0.466
N 0.250 0.375 0.534
N 0.250 0.473 0.144
Br 0.250 0.020 0.789
Br 0.750 0.980 0.211

2.
Entry from Alexandria via LeMat-Bulk: a geometry-optimized NbCuPS2 structure (PBE).

As for the excess energy over the best structure of this formula in the dataset: 363.5 meV/atom. For the formation energy from raw total energies, the calculation gives 668 meV/atom.

Unit cell a=4.402 b=4.402 c=4.466 alpha=90.00 beta=90.00 gamma=90.00
Atoms (fractional coordinates):
P 0.000 0.000 0.500
Nb 0.500 0.500 0.500
Cu 0.000 0.000 0.000
S 0.500 0.000 0.000
S 0.000 0.500 0.000

3.
Entry from Alexandria via LeMat-Bulk: a geometry-optimized MgZrZnSn structure (PBE).

The calculation puts the calculated total energy at -4.17 eV per atom.

Unit cell a=4.203 b=4.392 c=4.311 alpha=90.00 beta=90.00 gamma=90.00
Atoms (fractional coordinates):
Zn 0.000 0.500 0.500
Sn 0.000 0.000 0.000
Mg 0.500 0.500 0.000
Zr 0.500 0.000 0.500